[1]
This record from Alexandria via LeMat-Bulk describes a geometry-optimized CsHg2 structure. The functional is GGA-PBE.

```
6
Lattice="0.000 4.839 4.839 4.839 0.000 4.839 4.839 4.839 0.000" Properties=species:S:1:pos:R:3 pbc="T T T"
Cs 1.210 1.210 1.210
Cs 8.469 8.469 8.469
Hg 4.839 2.420 2.420
Hg 2.420 4.839 2.420
Hg 2.420 2.420 4.839
Hg 4.839 4.839 4.839
```

* total magnetization: 0.00 Bohr magnetons per cell
* distance to the lowest polymorph of the same formula: 1.34 kcal/mol of atoms
* Fermi-level density of states: 2.46 states/eV/f.u.
* calculated volume: 226.6 Å³/cell



[2]
This record from Alexandria via LeMat-Bulk describes a geometry-optimized Sn2BiS structure. The functional is GGA-PBE.

```
8
Lattice="-2.979 2.979 7.870 2.979 -2.979 7.870 2.979 2.979 -7.870" Properties=species:S:1:pos:R:3 pbc="T T T"
Sn 4.468 1.126 -1.968
Sn 1.126 1.489 1.968
Sn -1.489 1.853 5.903
Sn 1.853 1.489 9.838
Bi 2.979 0.000 3.935
Bi 0.000 0.000 7.870
S 0.000 0.000 0.000
S 0.000 2.979 3.935
```

* total magnetization: 0.00 Bohr magnetons per cell
* distance to the lowest polymorph of the same formula: 2.82 kcal/mol of atoms
* formation energy (no corrections): 5.4 kJ per mole of atoms
* Fermi-level density of states: 1.05 states/eV/f.u.
* calculated volume: 279.3 Å³/cell



[3]
This record from Alexandria via LeMat-Bulk describes a geometry-optimized PaFeTcSn structure. The functional is GGA-PBE.

```
4
Lattice="0.000 3.303 3.303 3.303 0.000 3.303 3.303 3.303 0.000" Properties=species:S:1:pos:R:3 pbc="T T T"
Pa 0.000 0.000 0.000
Fe 1.651 1.651 1.651
Tc 4.954 4.954 4.954
Sn 3.303 3.303 3.303
```

* total magnetization: 0.02 Bohr magnetons per cell
* VASP energy: -8.2106 eV per atom
* Fermi-level density of states: 1.62 states/eV/f.u.
* calculated volume: 72.1 Å³/cell



[4]
This record from Alexandria via LeMat-Bulk describes a geometry-optimized Mg2ZrGaFe structure. The functional is GGA-PBE.

```
5
Lattice="5.656 0.000 0.000 0.000 5.656 0.000 0.000 0.000 4.277" Properties=species:S:1:pos:R:3 pbc="T T T"
Mg 0.000 2.828 0.000
Mg 2.828 0.000 0.000
Zr 0.000 0.000 0.000
Ga 2.828 2.828 2.138
Fe 0.000 0.000 2.138
```

* total magnetization: 0.00 Bohr magnetons per cell
* VASP energy: -3.4840 eV per atom
* Fermi-level density of states: 4.57 states/eV/f.u.
* calculated volume: 136.8 Å³/cell



[5]
This record from Alexandria via LeMat-Bulk describes a geometry-optimized CaYI4 structure. The functional is GGA-PBE.

```
6
Lattice="7.664 0.000 0.000 0.000 4.267 0.000 -2.425 0.000 7.863" Properties=species:S:1:pos:R:3 pbc="T T T"
Ca 0.000 0.000 0.000
Y 3.832 2.134 0.000
I 1.349 2.134 1.856
I 0.119 0.000 5.997
I 5.121 0.000 1.866
I 3.890 2.134 6.007
```

* total magnetization: 0.31 Bohr magnetons per cell
* formation energy (no corrections): -133.3 kJ per mole of atoms
* Fermi-level density of states: 3.36 states/eV/f.u.
* calculated volume: 257.1 Å³/cell



[6]
This record from Alexandria via LeMat-Bulk describes a geometry-optimized RbPuBO6 structure. The functional is GGA-PBE.

```
9
Lattice="5.676 0.000 0.000 2.388 5.357 0.000 1.108 0.410 6.027" Properties=species:S:1:pos:R:3 pbc="T T T"
Rb 0.000 0.000 0.000
Pu 3.695 2.097 3.090
B 6.855 2.472 2.476
O 1.565 1.918 3.684
O 2.295 2.925 1.706
O 3.894 3.706 3.898
O 4.252 1.198 4.641
O 3.649 0.545 2.153
O 5.591 2.505 1.991
```

* total magnetization: 0.00 Bohr magnetons per cell
* formation energy (no corrections): -197.5 kJ per mole of atoms
* calculated volume: 183.3 Å³/cell



[7]
This record from Alexandria via LeMat-Bulk describes a geometry-optimized La2Nd4Sm2Tm structure. The functional is GGA-PBE.

```
9
Lattice="9.572 -1.850 0.000 9.572 1.850 0.000 -4.230 0.000 8.860" Properties=species:S:1:pos:R:3 pbc="T T T"
La 1.041 0.000 4.421
La 13.872 0.000 4.439
Nd -3.162 0.000 7.366
Nd 5.321 0.000 1.474
Nd 9.593 0.000 7.386
Nd 18.076 0.000 1.494
Sm 3.224 0.000 7.382
Sm 11.689 0.000 1.478
Tm 7.457 0.000 4.430
```

* total magnetization: 0.00 Bohr magnetons per cell
* VASP energy: -4.7480 eV per atom
* Fermi-level density of states: 12.55 states/eV/f.u.
* calculated volume: 313.7 Å³/cell



[8]
This record from Alexandria via LeMat-Bulk describes a geometry-optimized LaN2F2 structure. The functional is GGA-PBE.

```
5
Lattice="3.692 0.000 0.000 0.000 3.692 0.000 0.000 0.000 4.460" Properties=species:S:1:pos:R:3 pbc="T T T"
La 0.000 0.000 0.000
N 0.000 1.846 2.230
N 1.846 0.000 2.230
F 1.846 1.846 0.000
F 1.846 1.846 2.230
```

* total magnetization: 0.30 Bohr magnetons per cell
* distance to the lowest polymorph of the same formula: 10.48 kcal/mol of atoms
* formation energy (no corrections): -15.7 kJ per mole of atoms
* Fermi-level density of states: 2.31 states/eV/f.u.
* calculated volume: 60.8 Å³/cell



[9]
This record from Alexandria via LeMat-Bulk describes a geometry-optimized PmZn2GaPt2 structure. The functional is GGA-PBE.

```
6
Lattice="-2.488 2.488 5.297 2.488 -2.488 5.297 2.488 2.488 -5.297" Properties=species:S:1:pos:R:3 pbc="T T T"
Pm 0.000 0.000 0.000
Zn 2.488 0.000 2.648
Zn 0.000 2.488 2.648
Ga 0.000 0.000 5.297
Pt 0.000 0.000 2.918
Pt 0.000 0.000 7.675
```

* total magnetization: 0.00 Bohr magnetons per cell
* VASP energy: -4.1486 eV per atom
* Fermi-level density of states: 2.46 states/eV/f.u.
* calculated volume: 131.1 Å³/cell



[10]
This record from Alexandria via LeMat-Bulk describes a geometry-optimized TbCe2Sn structure. The functional is GGA-PBE.

```
4
Lattice="4.626 0.000 0.000 0.000 4.626 0.000 0.000 0.000 5.120" Properties=species:S:1:pos:R:3 pbc="T T T"
Tb 0.000 0.000 0.000
Ce 0.000 2.313 2.560
Ce 2.313 0.000 2.560
Sn 2.313 2.313 0.000
```

* total magnetization: 1.77 Bohr magnetons per cell
* distance to the lowest polymorph of the same formula: 0.24 kcal/mol of atoms
* Fermi-level density of states: 9.89 states/eV/f.u.
* calculated volume: 109.6 Å³/cell



[11]
This record from Alexandria via LeMat-Bulk describes a geometry-optimized FeSb3N structure. The functional is GGA-PBE.

```
5
Lattice="4.675 0.000 0.000 0.000 4.675 0.000 0.000 0.000 4.675" Properties=species:S:1:pos:R:3 pbc="T T T"
Fe 0.000 0.000 0.000
Sb 0.000 2.337 2.337
Sb 2.337 0.000 2.337
Sb 2.337 2.337 0.000
N 2.337 2.337 2.337
```

* total magnetization: 2.51 Bohr magnetons per cell
* distance to the lowest polymorph of the same formula: 0.00 kcal/mol of atoms
* formation energy (no corrections): 80.4 kJ per mole of atoms
* Fermi-level density of states: 5.13 states/eV/f.u.
* calculated volume: 102.2 Å³/cell



[12]
This record from Alexandria via LeMat-Bulk describes a geometry-optimized SiBTeN2 structure. The functional is GGA-PBE.

```
5
Lattice="3.433 0.000 0.000 0.000 3.433 0.000 0.000 0.000 6.576" Properties=species:S:1:pos:R:3 pbc="T T T"
Si 0.000 0.000 0.000
B 1.716 1.716 3.288
Te 1.716 1.716 0.000
N 0.000 1.716 3.288
N 1.716 0.000 3.288
```

* total magnetization: 0.13 Bohr magnetons per cell
* distance to the lowest polymorph of the same formula: 15.41 kcal/mol of atoms
* formation energy (no corrections): 155.5 kJ per mole of atoms
* Fermi-level density of states: 2.49 states/eV/f.u.
* calculated volume: 77.5 Å³/cell